First-principles (PBE) data for crystalline V3CoGe at its relaxed geometry, as listed in Alexandria via LeMat-Bulk.

Lattice parameters (Å, degrees): 4.289 4.289 4.289 90.00 90.00 90.00
Atoms (fractional coordinates):
V: 0.500 0.000 0.000
V: 0.000 0.000 0.500
V: 0.000 0.500 0.000
Ge: 0.500 0.500 0.500
Co: 0.000 0.000 0.000

Properties
- DOS(E_F) (states/eV per atom) = 1.053
- energy of formation (eV/atom) = 0.589
- total magnetic moment (μB/f.u.) = 0.00
- total DFT energy (no corrections) (eV per atom) = -7.227
- distance to the lowest polymorph of the same formula (meV per atom) = 433
- space-group type = Pm-3m, No. 221